Record 1
Here is a relaxed structure of PmSm14Y from Alexandria via LeMat-Bulk. Energies are from PBE.

abc: 11.7339 7.2866 12.6171
angles: 90.00 90.00 90.00
Closest atoms and distances in Å follow each position.
Space group Amm2 (No. 38)
Asymmetric unit:
Pm (0.0000, 0.0000, 0.0000)  10 Sm 3.61-3.65, 2 Y 3.64
Sm (0.0000, 0.2496, 0.2497)  8 Sm 3.60-3.65, 2 Pm 3.64-3.65, 2 Y 3.64
Sm (0.2493, 0.0000, 0.6666)  11 Sm 3.60-3.64, 1 Y 3.61
Sm (0.2504, 0.0000, 0.1667)  11 Sm 3.61-3.64, 1 Pm 3.61
Sm (0.2496, 0.2501, 0.4166)  1 Y 3.61, 1 Pm 3.61, 10 Sm 3.61-3.64
Sm (0.5000, 0.0000, 0.3335)  12 Sm 3.61-3.64
Sm (0.5000, 0.0000, 0.8333)  12 Sm 3.61-3.64
Sm (0.5000, 0.2501, 0.0835)  12 Sm 3.61-3.64
Y (0.0000, 0.0000, 0.4997)  10 Sm 3.61-3.64, 2 Pm 3.64

Output
The crystal system is orthorhombic. As for the magnetization: 0.0 μB/cell. Its formation energy from the elements is -0.02 kcal/mol of atoms. Its final energy is -4.831 eV per atom.

***

Record 2
Here is a relaxed structure of CaAgOs from Alexandria via LeMat-Bulk. Energies are from PBE.

abc: 2.8564 2.8564 13.8264
angles: 90.00 90.00 90.00
Closest atoms and distances in Å follow each position.
Space group I4mm (No. 107)
Asymmetric unit:
Ca (0.0000, 0.0000, 0.0000)  4 Ca 2.86, 4 Os 3.01
Ag (0.0000, 0.0000, 0.6863)  4 Ag 2.86, 4 Os 2.92
Os (0.0000, 0.0000, 0.3387)  4 Os 2.86, 4 Ag 2.92, 4 Ca 3.01

Output
The crystal system is tetragonal. As for the magnetization: 0.0 μB/cell. Its formation energy from the elements is 13.34 kcal/mol of atoms. Its final energy is -4.783 eV per atom.

***

Record 3
Here is a relaxed structure of Sm2Th2Ag from Alexandria via LeMat-Bulk. Energies are from PBE.

abc: 3.6225 3.6225 22.7002
angles: 90.00 90.00 90.00
Closest atoms and distances in Å follow each position.
Space group I4/mmm (No. 139)
Asymmetric unit:
Sm (0.0000, 0.0000, 0.0860)  4 Ag 3.22, 4 Th 3.60
Th (0.0000, 0.0000, 0.3028)  8 Th 3.51-3.62, 4 Sm 3.60
Ag (0.0000, 0.0000, 0.5000)  8 Sm 3.22

Output
The crystal system is tetragonal. As for the magnetization: 0.0 μB/cell. Its formation energy from the elements is -2.15 kcal/mol of atoms. Its final energy is -5.519 eV per atom.